1.
A relaxed SrZnSeO crystal, computed with PBE.

POSCAR file:
```
SrZnSeO
1.0
2.921 -0.694 1.767
1.672 5.654 -0.543
-1.966 1.271 7.183
O Se Sr Zn
2 2 2 2
Direct
0.000 0.000 0.000
0.000 0.500 0.000
0.809 0.750 0.383
0.191 0.250 0.617
0.865 0.250 0.270
0.135 0.750 0.730
0.437 0.750 0.127
0.563 0.250 0.873
```

Values from the calculation:
total energy: -0.29441 Ry/atom
volume: 152 Å³/cell
space-group type: Cmcm (63)

2.
A relaxed PrAuSO crystal, computed with PBE.

POSCAR file:
```
PrAuSO
1.0
6.394 0.000 -0.335
0.000 7.260 0.000
-1.015 0.000 7.762
Au O Pr S
4 4 4 4
Direct
0.953 0.277 0.016
0.047 0.777 0.484
0.953 0.223 0.516
0.047 0.723 0.984
0.474 0.344 0.122
0.526 0.844 0.378
0.474 0.156 0.622
0.526 0.656 0.878
0.627 0.636 0.177
0.373 0.136 0.323
0.627 0.864 0.677
0.373 0.364 0.823
0.996 0.916 0.210
0.004 0.416 0.290
0.996 0.584 0.710
0.004 0.084 0.790
```

Values from the calculation:
total energy: -0.43709 Ry/atom
volume: 358 Å³/cell
space-group type: P2_1/c (14)

3.
A relaxed PmBPO crystal, computed with PBE.

POSCAR file:
```
PmBPO
1.0
-0.990 3.810 -0.381
-2.891 -1.002 -2.506
-4.638 -0.644 5.607
B O P Pm
2 2 2 2
Direct
0.000 0.000 0.500
0.500 0.500 0.500
0.000 0.000 0.000
0.500 0.500 0.000
0.500 0.000 0.405
0.000 0.500 0.595
0.000 0.500 0.164
0.500 0.000 0.836
```

Values from the calculation:
total energy: -0.50434 Ry/atom
volume: 114 Å³/cell
space-group type: P4/nmm (129)

4.
A relaxed ZrNbSnB crystal, computed with PBE.

POSCAR file:
```
ZrNbSnB
1.0
-2.105 1.644 2.084
-1.208 -1.513 -2.780
-2.067 -12.191 7.531
B Nb Sn Zr
2 2 2 2
Direct
0.000 0.000 0.000
0.000 0.000 0.500
0.333 0.667 0.418
0.667 0.333 0.582
0.667 0.333 0.260
0.333 0.667 0.740
0.333 0.667 0.091
0.667 0.333 0.909
```

Values from the calculation:
total energy: -0.57652 Ry/atom
volume: 144 Å³/cell
space-group type: P-3m1 (164)

5.
A relaxed KAg3WS4 crystal, computed with PBE.

POSCAR file:
```
KAg3WS4
1.0
6.271 0.000 0.000
0.000 6.271 0.000
0.000 0.000 6.271
Ag K S W
3 1 4 1
Direct
0.500 0.500 0.000
0.500 0.000 0.500
0.000 0.500 0.500
0.000 0.000 0.000
0.285 0.285 0.285
0.715 0.715 0.285
0.715 0.285 0.715
0.285 0.715 0.715
0.500 0.500 0.500
```

Values from the calculation:
total energy: -0.34013 Ry/atom
volume: 247 Å³/cell
space-group type: P-43m (215)

6.
A relaxed ZnPtSeO crystal, computed with PBE.

POSCAR file:
```
ZnPtSeO
1.0
-2.952 2.524 0.147
-1.366 -1.782 3.173
4.443 4.925 4.679
O Pt Se Zn
2 2 2 2
Direct
0.750 0.750 0.486
0.250 0.250 0.514
0.750 0.750 0.219
0.250 0.250 0.781
0.250 0.250 0.304
0.750 0.750 0.696
0.750 0.250 0.000
0.250 0.750 0.000
```

Values from the calculation:
total energy: -0.30001 Ry/atom
volume: 123 Å³/cell
space-group type: P4/nmm (129)

7.
A relaxed PrBPO crystal, computed with PBE.

POSCAR file:
```
PrBPO
1.0
-3.569 -0.676 1.642
-0.449 -3.223 -2.303
3.217 -4.208 5.262
B O P Pr
2 2 2 2
Direct
0.000 0.000 0.500
0.500 0.500 0.500
0.000 0.000 0.000
0.500 0.500 0.000
0.500 0.000 0.408
0.000 0.500 0.592
0.000 0.500 0.166
0.500 0.000 0.834
```

Values from the calculation:
total energy: -0.50200 Ry/atom
volume: 119 Å³/cell
space-group type: P4/nmm (129)

8.
A relaxed KSmIn2I6 crystal, computed with PBE.

POSCAR file:
```
KSmIn2I6
1.0
0.000 6.370 6.370
6.370 0.000 6.370
6.370 6.370 0.000
I In K Sm
6 2 1 1
Direct
0.740 0.260 0.260
0.260 0.740 0.260
0.740 0.740 0.260
0.260 0.260 0.740
0.740 0.260 0.740
0.260 0.740 0.740
0.250 0.250 0.250
0.750 0.750 0.750
0.000 0.000 0.000
0.500 0.500 0.500
```

Values from the calculation:
total energy: -0.21710 Ry/atom
volume: 517 Å³/cell
space-group type: Fm-3m (225)

9.
A relaxed CuSnPtAu crystal, computed with PBE.

POSCAR file:
```
CuSnPtAu
1.0
-3.697 -0.540 2.660
-4.132 1.272 -1.531
-3.135 -3.179 -1.049
Au Cu Pt Sn
1 1 1 1
Direct
0.500 0.500 0.500
0.750 0.750 0.750
0.250 0.250 0.250
0.000 0.000 0.000
```

Values from the calculation:
total energy: -0.32152 Ry/atom
volume: 68 Å³/cell
space-group type: F-43m (216)

10.
A relaxed BaLuAgSe2S crystal, computed with PBE.

POSCAR file:
```
BaLuAgSe2S
1.0
1.942 6.348 3.200
-3.356 -6.516 0.767
9.015 -4.286 3.033
Ag Ba Lu S Se
2 2 2 2 4
Direct
0.970 0.030 0.250
0.030 0.970 0.750
0.242 0.758 0.250
0.758 0.242 0.750
0.500 0.500 0.000
0.500 0.500 0.500
0.572 0.428 0.250
0.428 0.572 0.750
0.864 0.136 0.045
0.864 0.136 0.455
0.136 0.864 0.545
0.136 0.864 0.955
```

Values from the calculation:
total energy: -0.36387 Ry/atom
volume: 310 Å³/cell
space-group type: Cmcm (63)

11.
A relaxed PrGa3P crystal, computed with PBE.

POSCAR file:
```
PrGa3P
1.0
4.813 0.000 0.000
0.000 4.813 0.000
0.000 0.000 4.813
Ga P Pr
3 1 1
Direct
0.500 0.000 0.000
0.000 0.500 0.000
0.000 0.000 0.500
0.000 0.000 0.000
0.500 0.500 0.500
```

Values from the calculation:
total energy: -0.28288 Ry/atom
volume: 112 Å³/cell
space-group type: Pm-3m (221)

12.
A relaxed LuAsIr2 crystal, computed with PBE.

POSCAR file:
```
LuAsIr2
1.0
1.427 2.259 3.744
-2.945 2.629 2.361
-1.431 -1.321 4.168
As Ir Lu
1 2 1
Direct
0.500 0.500 0.500
0.000 0.000 0.000
0.750 0.750 0.750
0.250 0.250 0.250
```

Values from the calculation:
total energy: -0.50212 Ry/atom
volume: 69 Å³/cell
space-group type: F-43m (216)

Question: Among the records above, which one has the lowest total energy?
Answer: ZrNbSnB

Question: volume of number 12 (LuAsIr2)?
Answer: 69 Å³/cell

Question: Which of these has the highest volume?
Answer: KSmIn2I6